[1]
Lu5Sb3 | GGA-PBE | optimized geometry

Properties
crystal system = orthorhombic
V = 842.1 Å³ per cell
calculated total energy = -166.2 eV/cell
symmetry = Pnma, No. 62
ρ = 9.78 g/cm3

Cell and atoms, written as POSCAR:
```
Lu5Sb3
1.0
7.943 0.000 0.000
0.000 9.162 0.000
0.000 0.000 11.573
Lu Sb
20 12
Direct
0.026 0.250 0.010 Lu
0.145 0.750 0.285 Lu
0.186 0.250 0.281 Lu
0.194 0.062 0.560 Lu
0.194 0.438 0.560 Lu
0.306 0.562 0.060 Lu
0.306 0.938 0.060 Lu
0.314 0.750 0.781 Lu
0.355 0.250 0.785 Lu
0.474 0.750 0.510 Lu
0.526 0.250 0.490 Lu
0.645 0.750 0.215 Lu
0.686 0.250 0.219 Lu
0.694 0.062 0.940 Lu
0.694 0.438 0.940 Lu
0.806 0.562 0.440 Lu
0.806 0.938 0.440 Lu
0.814 0.750 0.719 Lu
0.855 0.250 0.715 Lu
0.974 0.750 0.990 Lu
0.066 0.003 0.826 Sb
0.066 0.497 0.826 Sb
0.091 0.750 0.541 Sb
0.409 0.250 0.041 Sb
0.434 0.503 0.326 Sb
0.434 0.997 0.326 Sb
0.566 0.003 0.674 Sb
0.566 0.497 0.674 Sb
0.591 0.750 0.959 Sb
0.909 0.250 0.459 Sb
0.934 0.503 0.174 Sb
0.934 0.997 0.174 Sb
```

[2]
LuScSb | GGA-PBE | optimized geometry

Properties
crystal system = trigonal
V = 77.2 Å³ per cell
calculated total energy = -16.2 eV/cell
symmetry = P3m1, No. 156
ρ = 7.35 g/cm3

Cell and atoms, written as POSCAR:
```
LuScSb
1.0
4.844 0.000 0.000
-2.422 4.195 0.000
0.000 0.000 3.801
Lu Sc Sb
1 1 1
Direct
0.000 0.000 0.000 Lu
0.333 0.667 0.531 Sc
0.667 0.333 0.362 Sb
```

[3]
LuScSb2 | GGA-PBE | optimized geometry

Properties
crystal system = trigonal
V = 107.7 Å³ per cell
calculated total energy = -23.0 eV/cell
symmetry = R-3m, No. 166
ρ = 7.14 g/cm3

Cell and atoms, written as POSCAR:
```
LuScSb2
1.0
2.119 1.223 6.925
-2.119 1.223 6.925
0.000 -2.447 6.925
Lu Sc Sb
1 1 2
Direct
0.000 0.000 0.000 Lu
0.500 0.500 0.500 Sc
0.247 0.247 0.247 Sb
0.753 0.753 0.753 Sb
```